# 1
VASP calculation (GGA-PBEsol) on a relaxed KAuCl3 crystal.

a b c (Å): 5.0170 5.0170 5.0170
angles (deg): 90.00 90.00 90.00
With the nearest neighbours (Å) after each atom.
Atoms (fractional coordinates):
Au1 0.5000 0.5000 0.5000  6 Cl 2.51
Cl1 0.0000 0.5000 0.5000  2 Au 2.51
Cl2 0.5000 0.0000 0.5000  2 Au 2.51
Cl3 0.5000 0.5000 0.0000  2 Au 2.51
K1 0.0000 0.0000 0.0000  12 Cl 3.55

Values from the calculation:
The calculation puts the total energy at -3.151 eV per atom.

---

# 2
VASP calculation (GGA-PBEsol) on a relaxed KSr2AuCl crystal.

a b c (Å): 5.5946 5.5946 6.3505
angles (deg): 90.00 90.00 90.00
With the nearest neighbours (Å) after each atom.
Atoms (fractional coordinates):
Au1 0.0000 0.0000 0.5000  2 Cl 3.18
K1 0.5000 0.5000 0.5000  4 Au 3.96, 8 Sr 4.23
Cl1 0.0000 0.0000 0.0000  4 Sr 2.80
Sr1 0.0000 0.5000 0.0000  2 Cl 2.80
Sr2 0.5000 0.0000 0.0000  2 Cl 2.80

Values from the calculation:
The calculation puts the total energy at -2.575 eV per atom.

---

# 3
VASP calculation (GGA-PBEsol) on a relaxed K2TlAuCl6 crystal.

a b c (Å): 7.3585 7.3585 7.3585
angles (deg): 60.00 60.00 60.00
With the nearest neighbours (Å) after each atom.
Atoms (fractional coordinates):
Cl1 0.2572 0.7428 0.2572  1 Au 2.53, 1 Tl 2.68
Cl2 0.7428 0.7428 0.2572  1 Au 2.53, 1 Tl 2.68
Cl3 0.7428 0.2572 0.2572  1 Au 2.53, 1 Tl 2.68
Cl4 0.7428 0.2572 0.7428  1 Au 2.53, 1 Tl 2.68
Cl5 0.2572 0.7428 0.7428  1 Au 2.53, 1 Tl 2.68
Cl6 0.2572 0.2572 0.7428  1 Au 2.53, 1 Tl 2.68
Au1 0.5000 0.5000 0.5000  6 Cl 2.53
K1 0.7500 0.7500 0.7500  12 Cl 3.68
K2 0.2500 0.2500 0.2500  12 Cl 3.68
Tl1 0.0000 0.0000 0.0000  6 Cl 2.68

Values from the calculation:
The calculation puts the total energy at -3.140 eV per atom.

---

# 4
VASP calculation (GGA-PBEsol) on a relaxed LaAuCl2 crystal.

a b c (Å): 4.5762 5.2412 4.5762
angles (deg): 64.12 90.00 115.88
With the nearest neighbours (Å) after each atom.
Atoms (fractional coordinates):
Au1 0.0000 0.0000 0.0000  8 Cl 3.08, 4 La 3.24
Cl1 0.2500 0.5000 0.2500  4 La 3.08, 4 Au 3.08, 4 Cl 3.24
Cl2 0.7500 0.5000 0.7500  4 La 3.08, 4 Au 3.08, 4 Cl 3.24
La1 0.5000 0.0000 0.5000  8 Cl 3.08, 4 Au 3.24

Values from the calculation:
The calculation puts the total energy at -4.706 eV per atom. As for the energy above the most stable polymorph in this dataset: 0.066 eV/atom.

---

# 5
VASP calculation (GGA-PBEsol) on a relaxed LaAuCl2 crystal.

a b c (Å): 3.5634 3.5634 9.7533
angles (deg): 79.47 79.47 60.00
With the nearest neighbours (Å) after each atom.
Atoms (fractional coordinates):
Au1 0.0000 0.0000 0.0000  6 Cl 3.51, 6 Au 3.56
Cl1 0.2339 0.2339 0.2984  3 La 2.82
Cl2 0.7661 0.7661 0.7016  3 La 2.82
La1 0.5000 0.5000 0.5000  6 Cl 2.82

Values from the calculation:
The calculation puts the total energy at -4.243 eV per atom. As for the energy above the most stable polymorph in this dataset: 0.529 eV/atom.

---

# 6
VASP calculation (GGA-PBEsol) on a relaxed LaAuCl2 crystal.

a b c (Å): 4.0993 5.4281 5.8618
angles (deg): 65.79 69.53 67.82
With the nearest neighbours (Å) after each atom.
Atoms (fractional coordinates):
Cl1 0.9885 0.0646 0.9585  2 La 2.80, 2 Au 3.13
Cl2 0.7999 0.7702 0.6300  3 La 2.87-3.02
La1 0.4957 0.3668 0.6418  5 Cl 2.80-3.02, 2 Au 2.99
Au1 0.2159 0.2984 0.2697  2 La 2.99, 2 Cl 3.13

Values from the calculation:
The calculation puts the total energy at -4.772 eV per atom. As for the energy above the most stable polymorph in this dataset: 0.000 eV/atom.

---

# 7
VASP calculation (GGA-PBEsol) on a relaxed La2Au2Cl crystal.

a b c (Å): 5.4756 6.1822 5.4756
angles (deg): 63.71 90.00 116.29
With the nearest neighbours (Å) after each atom.
Atoms (fractional coordinates):
Au1 0.6339 0.2677 0.3661  1 Au 2.58
Au2 0.3661 0.7323 0.6339  1 Au 2.58
Cl1 0.0000 0.0000 0.0000  2 Au 3.53, 8 La 3.65
La1 0.7500 0.5000 0.7500  4 Au 2.96
La2 0.2500 0.5000 0.2500  4 Au 2.96

Values from the calculation:
The calculation puts the total energy at -4.784 eV per atom.

---

# 8
VASP calculation (GGA-PBEsol) on a relaxed LaW2AuCl crystal.

a b c (Å): 4.8217 4.8217 5.9292
angles (deg): 90.00 90.00 90.00
With the nearest neighbours (Å) after each atom.
Atoms (fractional coordinates):
W1 0.0000 0.5000 0.0000  2 Au 2.41
W2 0.5000 0.0000 0.0000  2 Au 2.41
Au1 0.0000 0.0000 0.0000  4 W 2.41
Cl1 0.5000 0.5000 0.5000  4 La 3.41
La1 0.0000 0.0000 0.5000  2 Au 2.96

Values from the calculation:
The calculation puts the total energy at -6.168 eV per atom.

---

Uncorrected formation energy readings, ordered: -0.935; -0.426; -1.053; -1.385; -0.922; -1.450; -0.674; 1.611 eV/atom